Below is a geometry-optimized Ti3MoF structure, with properties calculated at the PBE with a Hubbard U level.

a b c (Å): 4.2142 4.2142 4.2142
angles (deg): 90.00 90.00 90.00
Space group Pm-3m (No. 221)
One atom of each set of equivalent atoms:
Ti 0.0000 0.0000 0.5000
Mo 0.5000 0.5000 0.5000
F 0.0000 0.0000 0.0000

**Final energy**: -6.768 eV per atom